DFT (PBE) results for crystalline Ce3Co3Sb4 at its relaxed geometry.

## Properties
Calculated total energy in eV per atom: -6.26
Magnetic moment in Bohr magnetons per cell: 4.016

Cell: 8.226 8.226 8.226 Å, 109.47 109.47 109.47°
Last column: magnetic moment on the atom in μB.
Atoms (fractional coordinates):
Sb (0.344, 0.500, 0.000)  0.03
Sb (0.500, 0.844, 0.500)  0.03
Sb (0.000, 0.000, 0.344)  0.03
Sb (0.156, 0.656, 0.656)  0.03
Sb (0.844, 0.500, 0.000)  0.03
Sb (0.000, 0.000, 0.844)  0.03
Sb (0.500, 0.344, 0.500)  0.03
Sb (0.656, 0.156, 0.156)  0.03
Ce (0.375, 0.125, 0.750)  0.05
Ce (0.625, 0.750, 0.875)  0.05
Ce (0.875, 0.250, 0.625)  0.05
Ce (0.125, 0.375, 0.250)  0.05
Ce (0.250, 0.875, 0.125)  0.05
Ce (0.750, 0.625, 0.375)  0.05
Co (0.625, 0.875, 0.250)  0.50
Co (0.750, 0.125, 0.875)  0.50
Co (0.875, 0.625, 0.750)  0.50
Co (0.250, 0.375, 0.625)  0.50
Co (0.125, 0.750, 0.375)  0.50
Co (0.375, 0.250, 0.125)  0.50